1.
Compound: TaTe2Mo
Source: Alexandria via LeMat-Bulk
Functional: GGA-PBE
Structure: optimized geometry

The energy above the most stable polymorph in this dataset comes out at 0.186 eV/atom. The value obtained for the volume is 93 Å³ per cell.

The structure in CIF format:
```
data_TaTe2Mo
_symmetry_space_group_name_H-M 'P 4 m m'
_symmetry_Int_Tables_number 99
_symmetry_space_group_name_Hall 'P 4 -2'
_cell_length_a 3.399
_cell_length_b 3.399
_cell_length_c 8.007
_cell_angle_alpha 90.00
_cell_angle_beta 90.00
_cell_angle_gamma 90.00
loop_
_atom_site_label
_atom_site_type_symbol
_atom_site_fract_x
_atom_site_fract_y
_atom_site_fract_z
_atom_site_occupancy
Ta1 Ta 0.000 0.000 0.000 1
Te1 Te 0.000 0.000 0.618 1
Te2 Te 0.500 0.500 0.207 1
Mo1 Mo 0.500 0.500 0.814 1
```


2.
Compound: CdCIN2
Source: Alexandria via LeMat-Bulk
Functional: GGA-PBE
Structure: optimized geometry

The energy above the most stable polymorph in this dataset comes out at 0.381 eV/atom. The value obtained for the volume is 120 Å³ per cell.

The structure in CIF format:
```
data_CdCIN2
_symmetry_space_group_name_H-M 'P 4/m m m'
_symmetry_Int_Tables_number 123
_symmetry_space_group_name_Hall '-P 4 2'
_cell_length_a 4.162
_cell_length_b 4.162
_cell_length_c 6.913
_cell_angle_alpha 90.00
_cell_angle_beta 90.00
_cell_angle_gamma 90.00
loop_
_atom_site_label
_atom_site_type_symbol
_atom_site_fract_x
_atom_site_fract_y
_atom_site_fract_z
_atom_site_occupancy
Cd1 Cd 0.000 0.000 0.000 1
C1 C 0.500 0.500 0.500 1
I1 I 0.000 0.000 0.500 1
N1 N 0.000 0.500 0.000 1
```


3.
Compound: Cs2Mg2Cd
Source: Alexandria via LeMat-Bulk
Functional: GGA-PBE
Structure: optimized geometry

The value obtained for the volume is 437 Å³ per cell. Its formation energy from the elements is 0.19 eV/atom.

The structure in CIF format:
```
data_Cs2Mg2Cd
_symmetry_space_group_name_H-M 'P 4/m b m'
_symmetry_Int_Tables_number 127
_symmetry_space_group_name_Hall '-P 4 2ab'
_cell_length_a 8.118
_cell_length_b 8.118
_cell_length_c 6.625
_cell_angle_alpha 90.00
_cell_angle_beta 90.00
_cell_angle_gamma 90.00
loop_
_atom_site_label
_atom_site_type_symbol
_atom_site_fract_x
_atom_site_fract_y
_atom_site_fract_z
_atom_site_occupancy
Cs1 Cs 0.181 0.319 0.000 1
Mg1 Mg 0.140 0.640 0.500 1
Cd1 Cd 0.000 0.000 0.500 1
```